Model a:
In2Hg3Pb4: relaxed, GGA-PBE.

a b c (Å): 3.5351 3.5351 24.0635
angles (deg): 90.00 90.00 120.00
With the nearest neighbours (Å) after each atom.
Fractional coordinates of all 9 atoms:
Hg 0.0000 0.0000 0.9814  6 In 3.11-3.14
Pb 0.6667 0.3333 0.2096  1 In 3.15, 3 Hg 3.35
Pb 0.0000 0.0000 0.7682  3 Hg 3.34, 3 In 3.42, 6 Pb 3.54
Pb 0.6667 0.3333 0.4300  3 Hg 3.35, 9 Pb 3.51-3.54
Pb 0.0000 0.0000 0.5488  3 Hg 3.33, 9 Pb 3.51-3.54
In 0.6667 0.3333 0.0789  3 Hg 3.11, 1 Pb 3.15
In 0.6667 0.3333 0.8822  3 Hg 3.14, 3 Pb 3.42
Hg 0.0000 0.0000 0.3198  6 Pb 3.35, 6 Hg 3.54
Hg 0.6667 0.3333 0.6582  6 Pb 3.33-3.34, 6 Hg 3.54

Properties
Magnetization = 0.00 μB per formula unit
Calculated volume = 28.9 Å³/atom

***

Model b:
In2Hg3Pb4: relaxed, GGA-PBE.

a b c (Å): 7.1899 8.7295 8.7295
angles (deg): 78.87 100.55 100.55
With the nearest neighbours (Å) after each atom.
Fractional coordinates of all 18 atoms:
Hg 0.0793 0.9614 0.6937  5 Pb 3.14-3.47, 2 In 3.18-3.31, 1 Hg 3.34
Hg 0.5793 0.6937 0.9614  5 Pb 3.14-3.47, 2 In 3.18-3.31, 1 Hg 3.34
Pb 0.8655 0.4072 0.1579  4 Hg 3.19-3.52, 3 In 3.28-3.52, 2 Pb 3.40-3.45
In 0.1765 0.7528 0.4668  4 Hg 3.10-3.31, 3 Pb 3.28-3.35, 1 In 3.37
Hg 0.2500 0.3906 0.6094  4 In 3.10-3.27, 2 Pb 3.24
Pb 0.6345 0.8421 0.5928  4 Hg 3.19-3.52, 3 In 3.28-3.52, 2 Pb 3.40-3.45
Hg 0.4207 0.3063 0.0386  5 Pb 3.14-3.47, 2 In 3.18-3.31, 1 Hg 3.34
Pb 0.5114 0.0806 0.8103  3 Hg 3.14-3.47, 1 In 3.34, 4 Pb 3.36-3.45
In 0.3235 0.5332 0.2472  4 Hg 3.10-3.31, 3 Pb 3.28-3.35, 1 In 3.37
In 0.6765 0.4668 0.7528  4 Hg 3.10-3.31, 3 Pb 3.28-3.35, 1 In 3.37
Pb 0.1345 0.5928 0.8421  4 Hg 3.19-3.52, 3 In 3.28-3.52, 2 Pb 3.40-3.45
Pb 0.3655 0.1579 0.4072  4 Hg 3.19-3.52, 3 In 3.28-3.52, 2 Pb 3.40-3.45
In 0.8235 0.2472 0.5332  4 Hg 3.10-3.31, 3 Pb 3.28-3.35, 1 In 3.37
Pb 0.0114 0.8103 0.0806  3 Hg 3.14-3.47, 1 In 3.34, 4 Pb 3.36-3.45
Pb 0.4886 0.9194 0.1897  3 Hg 3.14-3.47, 1 In 3.34, 4 Pb 3.36-3.45
Hg 0.7500 0.6094 0.3906  4 In 3.10-3.27, 2 Pb 3.24
Hg 0.9207 0.0386 0.3063  5 Pb 3.14-3.47, 2 In 3.18-3.31, 1 Hg 3.34
Pb 0.9886 0.1897 0.9194  3 Hg 3.14-3.47, 1 In 3.34, 4 Pb 3.36-3.45

Properties
Magnetization = 0.00 μB per formula unit
Calculated volume = 29.0 Å³/atom

***

The least stable of them is model b.

***

Model a:
In6Hg3Pb2: relaxed, GGA-PBE.

a b c (Å): 5.3945 5.3945 12.4824
angles (deg): 77.52 77.52 60.00
With the nearest neighbours (Å) after each atom.
Fractional coordinates of all 11 atoms:
In 0.3593 0.3593 0.9220  7 Hg 3.25-3.42, 1 Pb 3.38, 3 In 3.64
Hg 0.0000 0.0000 0.0000  8 In 3.11-3.25
In 0.8216 0.8216 0.5353  4 In 3.23-3.36, 1 Hg 3.27, 3 Pb 3.37
Hg 0.2685 0.2685 0.1944  8 In 3.21-3.42
Pb 0.4526 0.4526 0.6421  7 In 3.34-3.38, 1 Pb 3.43, 3 Hg 3.69
In 0.9143 0.9143 0.2572  4 Hg 3.11-3.21, 3 Pb 3.34, 1 In 3.36
Hg 0.7315 0.7315 0.8056  8 In 3.21-3.42
In 0.0857 0.0857 0.7428  4 Hg 3.11-3.21, 3 Pb 3.34, 1 In 3.36
In 0.6407 0.6407 0.0780  7 Hg 3.25-3.42, 1 Pb 3.38, 3 In 3.64
Pb 0.5474 0.5474 0.3579  7 In 3.34-3.38, 1 Pb 3.43, 3 Hg 3.69
In 0.1784 0.1784 0.4647  4 In 3.23-3.36, 1 Hg 3.27, 3 Pb 3.37

Properties
Magnetization = 0.00 μB per formula unit
Calculated volume = 27.7 Å³/atom

***

Model b:
In6Hg3Pb2: relaxed, GGA-PBE.

a b c (Å): 3.4968 3.4968 28.7761
angles (deg): 86.52 86.52 60.00
With the nearest neighbours (Å) after each atom.
Fractional coordinates of all 11 atoms:
Pb 0.5476 0.5476 0.3573  6 In 3.44-3.48, 6 Pb 3.50
In 0.3619 0.3619 0.9143  6 Hg 3.18, 6 In 3.50
Hg 0.2763 0.2763 0.1711  6 In 3.18-3.22, 6 Hg 3.50
In 0.1819 0.1819 0.4542  9 In 3.32-3.50, 3 Pb 3.44
In 0.8181 0.8181 0.5458  9 In 3.32-3.50, 3 Pb 3.44
In 0.0862 0.0862 0.7414  3 Hg 3.22, 3 Pb 3.48, 6 In 3.50
Hg 0.7237 0.7237 0.8289  6 In 3.18-3.22, 6 Hg 3.50
In 0.6381 0.6381 0.0857  6 Hg 3.18, 6 In 3.50
Hg 0.0000 0.0000 0.0000  6 In 3.18, 6 Hg 3.50
Pb 0.4524 0.4524 0.6427  6 In 3.44-3.48, 6 Pb 3.50
In 0.9138 0.9138 0.2586  3 Hg 3.22, 3 Pb 3.48, 6 In 3.50

Properties
Magnetization = 0.00 μB per formula unit
Calculated volume = 27.6 Å³/atom

***

The least stable of them is model a.

***

Model a:
In3Hg8Pb2: relaxed, GGA-PBE.

a b c (Å): 3.3606 11.0563 11.3154
angles (deg): 121.15 90.00 90.00
With the nearest neighbours (Å) after each atom.
Fractional coordinates of all 13 atoms:
In 0.0000 0.2982 0.0761  7 Hg 3.12-3.34, 4 In 3.36-3.39
Pb 0.5000 0.8296 0.4651  7 Hg 3.20-3.45, 3 Pb 3.36-3.43
Hg 0.0000 0.7918 0.7007  3 In 3.16-3.39, 2 Pb 3.36, 6 Hg 3.36-3.44
Hg 0.5000 0.0970 0.7830  3 In 3.15-3.34, 2 Pb 3.27-3.30, 6 Hg 3.36-3.44
Pb 0.5000 0.1704 0.5349  7 Hg 3.20-3.45, 3 Pb 3.36-3.43
Hg 0.5000 0.5007 0.3651  5 Hg 3.06-3.37, 1 Pb 3.20, 2 In 3.31
Hg 0.0000 0.3854 0.8406  2 In 3.12-3.27, 5 Hg 3.16-3.36, 2 Pb 3.45
Hg 0.5000 0.9030 0.2170  3 In 3.15-3.34, 2 Pb 3.27-3.30, 6 Hg 3.36-3.44
Hg 0.5000 0.4993 0.6349  5 Hg 3.06-3.37, 1 Pb 3.20, 2 In 3.31
In 0.5000 0.0000 0.0000  6 Hg 3.15-3.39, 6 In 3.36-3.39
Hg 0.0000 0.2082 0.2993  3 In 3.16-3.39, 2 Pb 3.36, 6 Hg 3.36-3.44
Hg 0.0000 0.6146 0.1594  2 In 3.12-3.27, 5 Hg 3.16-3.36, 2 Pb 3.45
In 0.0000 0.7018 0.9239  7 Hg 3.12-3.34, 4 In 3.36-3.39

Properties
Magnetization = 0.00 μB per formula unit
Calculated volume = 27.7 Å³/atom

***

Model b:
In3Hg8Pb2: relaxed, GGA-PBE.

a b c (Å): 6.0352 7.8641 9.1100
angles (deg): 115.57 103.78 90.00
With the nearest neighbours (Å) after each atom.
Fractional coordinates of all 13 atoms:
Hg 0.0319 0.8357 0.6714  2 Pb 3.09-3.24, 1 Hg 3.18, 3 In 3.26-3.35
Hg 0.5117 0.4143 0.2062  2 In 2.97-3.19, 2 Hg 2.97-3.18, 2 Pb 3.17-3.21
Hg 0.9933 0.6387 0.2775  3 Hg 3.18, 2 In 3.18, 1 Pb 3.29
In 0.0000 0.7800 0.0000  6 Hg 3.18-3.26, 3 In 3.46-3.48
Hg 0.4883 0.2080 0.7938  2 In 2.97-3.19, 2 Hg 2.97-3.18, 2 Pb 3.17-3.21
In 0.5000 0.0000 0.0000  4 Hg 2.97
Pb 0.4977 0.2247 0.4494  7 Hg 3.09-3.29
Hg 0.0067 0.3613 0.7225  3 Hg 3.18, 2 In 3.18, 1 Pb 3.29
In 0.0000 0.2200 0.0000  6 Hg 3.18-3.26, 3 In 3.46-3.48
Hg 0.9681 0.1643 0.3286  2 Pb 3.09-3.24, 1 Hg 3.18, 3 In 3.26-3.35
Hg 0.5117 0.7920 0.2062  2 In 2.97-3.19, 2 Hg 2.97-3.18, 2 Pb 3.17-3.21
Pb 0.5023 0.7753 0.5506  7 Hg 3.09-3.29
Hg 0.4883 0.5857 0.7938  2 In 2.97-3.19, 2 Hg 2.97-3.18, 2 Pb 3.17-3.21

Properties
Magnetization = 0.00 μB per formula unit
Calculated volume = 28.9 Å³/atom

***

The least stable of them is model b.

***

Model a:
InHg7Pb4: relaxed, GGA-PBE.

a b c (Å): 5.6561 6.5475 11.7327
angles (deg): 103.49 76.04 64.42
With the nearest neighbours (Å) after each atom.
Fractional coordinates of all 12 atoms:
Hg 0.3020 0.8412 0.5548  3 Hg 2.98-3.33, 4 Pb 3.16-3.30
Hg 0.6980 0.1588 0.4452  3 Hg 2.98-3.33, 4 Pb 3.16-3.30
Pb 0.6619 0.9604 0.7157  5 Hg 3.15-3.39, 1 Pb 3.44
Pb 0.6500 0.4406 0.2594  1 In 3.09, 4 Hg 3.16-3.28, 1 Pb 3.44
Pb 0.3500 0.5594 0.7406  1 In 3.09, 4 Hg 3.16-3.28, 1 Pb 3.44
Hg 0.9881 0.6260 0.3978  5 Hg 2.98-3.33, 3 Pb 3.20-3.22
Hg 0.8460 0.4107 0.8972  1 In 3.07, 2 Hg 3.22-3.28
Pb 0.3381 0.0396 0.2843  5 Hg 3.15-3.39, 1 Pb 3.44
Hg 0.5000 0.0000 0.0000  2 In 2.83, 2 Pb 3.15
Hg 0.0119 0.3740 0.6022  5 Hg 2.98-3.33, 3 Pb 3.20-3.22
In 0.0000 0.0000 0.0000  4 Hg 2.83-3.07, 2 Pb 3.09
Hg 0.1540 0.5893 0.1028  1 In 3.07, 2 Hg 3.22-3.28

Properties
Magnetization = 0.00 μB per formula unit
Calculated volume = 29.2 Å³/atom

***

Model b:
InHg7Pb4: relaxed, GGA-PBE.

a b c (Å): 3.7042 3.7042 28.4801
angles (deg): 90.00 90.00 120.00
With the nearest neighbours (Å) after each atom.
Fractional coordinates of all 12 atoms:
Pb 0.3333 0.6667 0.9142  6 Hg 3.25-3.27
Pb 0.6667 0.3333 0.0858  6 Hg 3.25-3.27
In 0.0000 0.0000 0.5000  6 Hg 3.09
Pb 0.3333 0.6667 0.6633  6 Hg 3.23-3.28
Hg 0.0000 0.0000 0.2492  3 Hg 3.06, 3 Pb 3.28
Hg 0.3333 0.6667 0.1725  3 Hg 3.06, 3 Pb 3.27
Hg 0.6667 0.3333 0.5785  3 In 3.09, 3 Pb 3.23
Hg 0.0000 0.0000 0.0000  6 Pb 3.25
Hg 0.3333 0.6667 0.4215  3 In 3.09, 3 Pb 3.23
Hg 0.0000 0.0000 0.7508  3 Hg 3.06, 3 Pb 3.28
Pb 0.6667 0.3333 0.3367  6 Hg 3.23-3.28
Hg 0.6667 0.3333 0.8275  3 Hg 3.06, 3 Pb 3.27

Properties
Magnetization = 0.00 μB per formula unit
Calculated volume = 28.2 Å³/atom

***

The least stable of them is model a.